Entry i
A relaxed TiGeIr3 crystal. Source: Alexandria via LeMat-Bulk, functional PBE.

Values from the calculation:
Total magnetic moment in μB/f.u.: 1.0

Lattice parameters (Å, degrees): 4.5227 4.5227 4.5227 90.00 90.00 90.00
With the nearest neighbours (Å) after each atom.
Positions (direct):
Ti: 0.0000 0.0000 0.0000  12 Ir 3.20
Ge: 0.5000 0.5000 0.5000  6 Ir 2.26
Ir: 0.0000 0.5000 0.5000  2 Ge 2.26
Ir: 0.5000 0.0000 0.5000  2 Ge 2.26
Ir: 0.5000 0.5000 0.0000  2 Ge 2.26

---

Entry ii
A relaxed TiGeIr3 crystal. Source: Alexandria via LeMat-Bulk, functional PBE.

Values from the calculation:
Total magnetic moment in μB/f.u.: 0.0

Lattice parameters (Å, degrees): 4.6189 4.6189 4.6189 90.00 90.00 90.00
With the nearest neighbours (Å) after each atom.
Positions (direct):
Ti: 0.0000 0.0000 0.0000  6 Ir 2.31
Ge: 0.5000 0.5000 0.5000  12 Ir 3.27
Ir: 0.0000 0.0000 0.5000  2 Ti 2.31
Ir: 0.0000 0.5000 0.0000  2 Ti 2.31
Ir: 0.5000 0.0000 0.0000  2 Ti 2.31

---

Pick entry i: it beats the second-best structure by 345 meV per atom.

---

Entry i
A relaxed Tl3GeIr crystal. Source: Alexandria via LeMat-Bulk, functional PBE.

Values from the calculation:
Total magnetic moment in μB/f.u.: 1.3

Lattice parameters (Å, degrees): 5.2832 5.2832 5.2832 90.00 90.00 90.00
With the nearest neighbours (Å) after each atom.
Positions (direct):
Tl: 0.0000 0.0000 0.5000  2 Ir 2.64
Tl: 0.0000 0.5000 0.0000  2 Ir 2.64
Tl: 0.5000 0.0000 0.0000  2 Ir 2.64
Ge: 0.5000 0.5000 0.5000  12 Tl 3.74
Ir: 0.0000 0.0000 0.0000  6 Tl 2.64

---

Entry ii
A relaxed Tl3GeIr crystal. Source: Alexandria via LeMat-Bulk, functional PBE.

Values from the calculation:
Total magnetic moment in μB/f.u.: 0.8

Lattice parameters (Å, degrees): 5.3210 5.3210 5.3210 90.00 90.00 90.00
With the nearest neighbours (Å) after each atom.
Positions (direct):
Tl: 0.0000 0.0000 0.5000  2 Ge 2.66
Tl: 0.0000 0.5000 0.0000  2 Ge 2.66
Tl: 0.5000 0.0000 0.0000  2 Ge 2.66
Ge: 0.0000 0.0000 0.0000  6 Tl 2.66
Ir: 0.5000 0.5000 0.5000  12 Tl 3.76

---

Pick entry i: it beats the second-best structure by 701 meV per atom.

---

Entry i
A relaxed TlGe2Ir2 crystal. Source: Alexandria via LeMat-Bulk, functional PBE.

Values from the calculation:
Total magnetic moment in μB/f.u.: 0.0

Lattice parameters (Å, degrees): 7.7360 7.7360 2.9080 90.00 90.00 90.00
With the nearest neighbours (Å) after each atom.
Positions (direct):
Tl: 0.0000 0.0000 0.0000  2 Tl 2.91, 4 Ir 2.99
Tl: 0.5000 0.5000 0.0000  2 Tl 2.91, 4 Ir 2.99
Ge: 0.1457 0.3543 0.5000  6 Ir 2.65-2.75, 2 Ge 2.91
Ge: 0.3543 0.8543 0.5000  6 Ir 2.65-2.75, 2 Ge 2.91
Ge: 0.6457 0.1457 0.5000  6 Ir 2.65-2.75, 2 Ge 2.91
Ge: 0.8543 0.6457 0.5000  6 Ir 2.65-2.75, 2 Ge 2.91
Ir: 0.1407 0.6407 0.0000  6 Ge 2.65-2.75, 2 Ir 2.91
Ir: 0.3593 0.1407 0.0000  6 Ge 2.65-2.75, 2 Ir 2.91
Ir: 0.6407 0.8593 0.0000  6 Ge 2.65-2.75, 2 Ir 2.91
Ir: 0.8593 0.3593 0.0000  6 Ge 2.65-2.75, 2 Ir 2.91

---

Entry ii
A relaxed TlGe2Ir2 crystal. Source: Alexandria via LeMat-Bulk, functional PBE.

Values from the calculation:
Total magnetic moment in μB/f.u.: 0.0

Lattice parameters (Å, degrees): 6.5690 6.5690 6.5690 145.19 145.19 50.05
With the nearest neighbours (Å) after each atom.
Positions (direct):
Tl: 0.0000 0.0000 0.0000  8 Ir 3.13
Ge: 0.2500 0.7500 0.5000  4 Ir 2.49, 4 Ge 2.78
Ge: 0.7500 0.2500 0.5000  4 Ir 2.49, 4 Ge 2.78
Ir: 0.3791 0.3791 0.0000  4 Ge 2.49
Ir: 0.6209 0.6209 0.0000  4 Ge 2.49

---

Pick entry ii: it beats the second-best structure by 69 meV per atom.

---

Entry i
A relaxed Tm3Ge3Ir2 crystal. Source: Alexandria via LeMat-Bulk, functional PBE.

Values from the calculation:
Total magnetic moment in μB/f.u.: 0.0

Lattice parameters (Å, degrees): 8.1262 14.0983 5.5846 90.00 90.00 90.00
With the nearest neighbours (Å) after each atom.
Positions (direct):
Tm: 0.0428 0.1139 0.1169  2 Ir 2.95-2.96, 7 Ge 2.96-3.31
Tm: 0.0428 0.3861 0.1169  2 Ir 2.95-2.96, 7 Ge 2.96-3.31
Tm: 0.1902 0.2500 0.6347  5 Ge 2.93-3.22, 4 Ir 3.03-3.18
Tm: 0.3098 0.7500 0.1347  5 Ge 2.93-3.22, 4 Ir 3.03-3.18
Tm: 0.4572 0.6139 0.6169  2 Ir 2.95-2.96, 7 Ge 2.96-3.31
Tm: 0.4572 0.8861 0.6169  2 Ir 2.95-2.96, 7 Ge 2.96-3.31
Tm: 0.5428 0.1139 0.3831  2 Ir 2.95-2.96, 7 Ge 2.96-3.31
Tm: 0.5428 0.3861 0.3831  2 Ir 2.95-2.96, 7 Ge 2.96-3.31
Tm: 0.6902 0.2500 0.8653  5 Ge 2.93-3.22, 4 Ir 3.03-3.18
Tm: 0.8098 0.7500 0.3653  5 Ge 2.93-3.22, 4 Ir 3.03-3.18
Tm: 0.9572 0.6139 0.8831  2 Ir 2.95-2.96, 7 Ge 2.96-3.31
Tm: 0.9572 0.8861 0.8831  2 Ir 2.95-2.96, 7 Ge 2.96-3.31
Ge: 0.1662 0.7500 0.6152  2 Ir 2.60
Ge: 0.2036 0.0370 0.6250  3 Ir 2.42-2.57
Ge: 0.2036 0.4630 0.6250  3 Ir 2.42-2.57
Ge: 0.2964 0.5370 0.1250  3 Ir 2.42-2.57
Ge: 0.2964 0.9630 0.1250  3 Ir 2.42-2.57
Ge: 0.3338 0.2500 0.1152  2 Ir 2.60
Ge: 0.6662 0.7500 0.8848  2 Ir 2.60
Ge: 0.7036 0.0370 0.8750  3 Ir 2.42-2.57
Ge: 0.7036 0.4630 0.8750  3 Ir 2.42-2.57
Ge: 0.7964 0.5370 0.3750  3 Ir 2.42-2.57
Ge: 0.7964 0.9630 0.3750  3 Ir 2.42-2.57
Ge: 0.8338 0.2500 0.3848  2 Ir 2.60
Ir: 0.0746 0.5991 0.3825  4 Ge 2.42-2.60
Ir: 0.0746 0.9009 0.3825  4 Ge 2.42-2.60
Ir: 0.4254 0.0991 0.8825  4 Ge 2.42-2.60
Ir: 0.4254 0.4009 0.8825  4 Ge 2.42-2.60
Ir: 0.5746 0.5991 0.1175  4 Ge 2.42-2.60
Ir: 0.5746 0.9009 0.1175  4 Ge 2.42-2.60
Ir: 0.9254 0.0991 0.6175  4 Ge 2.42-2.60
Ir: 0.9254 0.4009 0.6175  4 Ge 2.42-2.60

---

Entry ii
A relaxed Tm3Ge3Ir2 crystal. Source: Alexandria via LeMat-Bulk, functional PBE.

Values from the calculation:
Total magnetic moment in μB/f.u.: 0.0

Lattice parameters (Å, degrees): 5.6058 5.6058 14.1569 90.00 90.00 134.85
With the nearest neighbours (Å) after each atom.
Positions (direct):
Tm: 0.0843 0.9157 0.6102  4 Ir 2.94-3.25, 7 Ge 3.01-3.22
Tm: 0.0843 0.9157 0.8898  4 Ir 2.94-3.25, 7 Ge 3.01-3.22
Tm: 0.3569 0.6431 0.7500  5 Ge 3.01-3.07, 4 Ir 3.05
Tm: 0.6431 0.3569 0.2500  5 Ge 3.01-3.07, 4 Ir 3.05
Tm: 0.9157 0.0843 0.1102  4 Ir 2.94-3.25, 7 Ge 3.01-3.22
Tm: 0.9157 0.0843 0.3898  4 Ir 2.94-3.25, 7 Ge 3.01-3.22
Ge: 0.3470 0.6530 0.2500  2 Ir 2.58
Ge: 0.3773 0.6227 0.5354  3 Ir 2.49-2.69, 1 Ge 2.73
Ge: 0.3773 0.6227 0.9646  3 Ir 2.49-2.69, 1 Ge 2.73
Ge: 0.6227 0.3773 0.0354  3 Ir 2.49-2.69, 1 Ge 2.73
Ge: 0.6227 0.3773 0.4646  3 Ir 2.49-2.69, 1 Ge 2.73
Ge: 0.6530 0.3470 0.7500  2 Ir 2.58
Ir: 0.1998 0.8002 0.1030  4 Ge 2.49-2.69
Ir: 0.1998 0.8002 0.3970  4 Ge 2.49-2.69
Ir: 0.8002 0.1998 0.6030  4 Ge 2.49-2.69
Ir: 0.8002 0.1998 0.8970  4 Ge 2.49-2.69

---

Pick entry ii: it beats the second-best structure by 54 meV per atom.

---

Entry i
A relaxed UGe2Ir2 crystal. Source: Alexandria via LeMat-Bulk, functional PBE.

Values from the calculation:
Total magnetic moment in μB/f.u.: 2.5

Lattice parameters (Å, degrees): 5.9896 5.9896 5.9896 139.73 139.73 58.27
With the nearest neighbours (Å) after each atom.
Positions (direct):
U: 0.0000 0.0000 0.0000  8 Ge 3.17, 8 Ir 3.33
Ge: 0.3819 0.3819 0.0000  1 Ge 2.47, 4 Ir 2.48
Ge: 0.6181 0.6181 0.0000  1 Ge 2.47, 4 Ir 2.48
Ir: 0.2500 0.7500 0.5000  4 Ge 2.48
Ir: 0.7500 0.2500 0.5000  4 Ge 2.48

---

Entry ii
A relaxed UGe2Ir2 crystal. Source: Alexandria via LeMat-Bulk, functional PBE.

Values from the calculation:
Total magnetic moment in μB/f.u.: 2.2

Lattice parameters (Å, degrees): 4.2036 4.2036 10.2049 90.00 90.00 90.00
With the nearest neighbours (Å) after each atom.
Positions (direct):
U: 0.2500 0.2500 0.2433  8 Ir 3.18-3.36, 8 Ge 3.23-3.25
U: 0.7500 0.7500 0.7567  8 Ir 3.18-3.36, 8 Ge 3.23-3.25
Ge: 0.2500 0.2500 0.6323  5 Ir 2.41-2.50
Ge: 0.2500 0.7500 0.0000  4 Ir 2.49
Ge: 0.7500 0.2500 0.0000  4 Ir 2.49
Ge: 0.7500 0.7500 0.3677  5 Ir 2.41-2.50
Ir: 0.2500 0.2500 0.8683  5 Ge 2.41-2.49
Ir: 0.2500 0.7500 0.5000  4 Ge 2.50
Ir: 0.7500 0.2500 0.5000  4 Ge 2.50
Ir: 0.7500 0.7500 0.1317  5 Ge 2.41-2.49

---

Pick entry ii: it beats the second-best structure by 49 meV per atom.